Nd2TiIn8: optimized geometry, GGA-PBE.

The space-group type is No. 123.

a b c (Å): 4.6585 4.6585 12.9753
angles (deg): 90.00 90.00 90.00
Closest atoms and distances in Å follow each position.
Element x y z (fractional)
Nd  0.0000  0.0000  0.3156  12 In 3.29-3.35
Nd  0.0000  0.0000  0.6844  12 In 3.29-3.35
Ti  0.0000  0.0000  0.0000  8 In 2.88
In  0.0000  0.5000  0.5000  8 In 3.29-3.35, 4 Nd 3.34
In  0.5000  0.0000  0.5000  8 In 3.29-3.35, 4 Nd 3.34
In  0.5000  0.5000  0.3145  4 Nd 3.29, 8 In 3.34-3.35
In  0.5000  0.5000  0.6855  4 Nd 3.29, 8 In 3.34-3.35
In  0.0000  0.5000  0.1299  2 Ti 2.88
In  0.5000  0.0000  0.1299  2 Ti 2.88
In  0.0000  0.5000  0.8701  2 Ti 2.88
In  0.5000  0.0000  0.8701  2 Ti 2.88



Nd2TiIn: optimized geometry, GGA-PBE.

The space-group type is No. 123.

a b c (Å): 4.6299 4.8387 4.8387
angles (deg): 90.00 90.00 90.00
Closest atoms and distances in Å follow each position.
Element x y z (fractional)
Ti  0.5000  0.0000  0.0000  8 Nd 3.35, 4 In 3.42
Nd  0.0000  0.0000  0.5000  4 In 3.35, 4 Ti 3.35, 4 Nd 3.42
Nd  0.0000  0.5000  0.0000  4 In 3.35, 4 Ti 3.35, 4 Nd 3.42
In  0.5000  0.5000  0.5000  8 Nd 3.35, 4 Ti 3.42



NdTiIn: optimized geometry, GGA-PBE.

The space-group type is No. 129.

a b c (Å): 4.3967 4.3967 8.1715
angles (deg): 90.00 90.00 90.00
Closest atoms and distances in Å follow each position.
Element x y z (fractional)
Nd  0.0000  0.5000  0.8420  5 In 3.22-3.44, 4 Ti 3.56
Nd  0.5000  0.0000  0.1580  5 In 3.22-3.44, 4 Ti 3.56
In  0.0000  0.5000  0.2626  4 Ti 2.93, 4 Nd 3.22
In  0.5000  0.0000  0.7374  4 Ti 2.93, 4 Nd 3.22
Ti  0.5000  0.5000  0.5000  4 In 2.93, 4 Ti 3.11
Ti  0.0000  0.0000  0.5000  4 In 2.93, 4 Ti 3.11



NdTiIn2: optimized geometry, GGA-PBE.

The space-group type is No. 123.

a b c (Å): 3.6654 3.6654 7.1873
angles (deg): 90.00 90.00 90.00
Closest atoms and distances in Å follow each position.
Element x y z (fractional)
Ti  0.5000  0.5000  0.0000  8 In 3.00
Nd  0.5000  0.5000  0.5000  8 In 3.33, 2 Ti 3.59, 4 Nd 3.67
In  0.0000  0.0000  0.7906  4 Ti 3.00, 1 In 3.01, 4 Nd 3.33
In  0.0000  0.0000  0.2094  4 Ti 3.00, 1 In 3.01, 4 Nd 3.33



NdTiIn2: optimized geometry, GGA-PBE.

The space-group type is No. 166.

a b c (Å): 3.3338 3.3338 10.4404
angles (deg): 80.81 80.81 60.00
Closest atoms and distances in Å follow each position.
Element x y z (fractional)
Ti  0.0000  0.0000  0.0000  6 In 3.00, 6 Ti 3.33
Nd  0.5000  0.5000  0.5000  6 Nd 3.33, 6 In 3.42
In  0.7413  0.7413  0.7761  3 Ti 3.00, 6 In 3.33
In  0.2587  0.2587  0.2239  3 Ti 3.00, 6 In 3.33



Nd2TlIn: optimized geometry, GGA-PBE.

The space-group type is No. 65.

a b c (Å): 3.7053 5.6738 5.6738
angles (deg): 100.03 90.00 90.00
Closest atoms and distances in Å follow each position.
Element x y z (fractional)
Nd  0.0000  0.0000  0.5000  4 In 3.39, 4 Tl 3.39, 4 Nd 3.65-3.71
Nd  0.0000  0.5000  0.0000  4 Tl 3.39, 4 In 3.39, 4 Nd 3.65-3.71
Tl  0.5000  0.5000  0.5000  8 Nd 3.39, 2 In 3.65, 2 Tl 3.71
In  0.5000  0.0000  0.0000  8 Nd 3.39, 2 Tl 3.65, 2 In 3.71



Nd8Tl3In2: optimized geometry, GGA-PBE.

The space-group type is No. 65.

a b c (Å): 5.7250 9.1585 9.3808
angles (deg): 119.22 90.00 90.00
Closest atoms and distances in Å follow each position.
Element x y z (fractional)
Nd  0.0002  0.6865  0.3730  2 In 3.23, 1 Nd 3.39, 2 Tl 3.45
Nd  0.9998  0.3135  0.6270  2 In 3.23, 1 Nd 3.39, 2 Tl 3.45
Nd  0.9999  0.1064  0.2129  4 Tl 3.35-3.44, 2 Nd 3.39-3.49, 2 In 3.44
Nd  0.0001  0.8936  0.7871  4 Tl 3.35-3.44, 2 Nd 3.39-3.49, 2 In 3.44
Nd  0.4999  0.5907  0.7647  2 In 3.18-3.24, 3 Tl 3.29-3.46
Nd  0.4999  0.1740  0.7647  2 In 3.18-3.24, 3 Tl 3.29-3.46
Nd  0.5001  0.8260  0.2353  2 In 3.18-3.24, 3 Tl 3.29-3.46
Nd  0.5001  0.4093  0.2353  2 In 3.18-3.24, 3 Tl 3.29-3.46
Tl  0.5000  0.0000  0.0000  8 Nd 3.29-3.35, 2 In 3.64
Tl  0.0000  0.3240  0.0000  1 Tl 3.22, 8 Nd 3.44-3.46
Tl  0.0000  0.6760  0.0000  1 Tl 3.22, 8 Nd 3.44-3.46
In  0.4998  0.2225  0.4450  8 Nd 3.18-3.44
In  0.5002  0.7775  0.5550  8 Nd 3.18-3.44



Nd2TlIn9: optimized geometry, GGA-PBE.

The space-group type is No. 123.

a b c (Å): 4.7098 4.7098 14.5751
angles (deg): 90.00 90.00 90.00
Closest atoms and distances in Å follow each position.
Element x y z (fractional)
Nd  0.0000  0.0000  0.3391  12 In 3.32-3.39
Nd  0.0000  0.0000  0.6609  12 In 3.32-3.39
Tl  0.0000  0.0000  0.0000  12 In 3.33-3.44
In  0.5000  0.5000  0.0000  4 Tl 3.33, 8 In 3.44
In  0.5000  0.5000  0.3382  4 Nd 3.33, 8 In 3.33-3.38
In  0.5000  0.5000  0.6618  4 Nd 3.33, 8 In 3.33-3.38
In  0.5000  0.0000  0.1719  8 In 3.33-3.44, 2 Nd 3.39, 2 Tl 3.44
In  0.5000  0.0000  0.5000  4 Nd 3.32, 8 In 3.33
In  0.5000  0.0000  0.8281  8 In 3.33-3.44, 2 Nd 3.39, 2 Tl 3.44
In  0.0000  0.5000  0.1719  8 In 3.33-3.44, 2 Nd 3.39, 2 Tl 3.44
In  0.0000  0.5000  0.5000  4 Nd 3.32, 8 In 3.33
In  0.0000  0.5000  0.8281  8 In 3.33-3.44, 2 Nd 3.39, 2 Tl 3.44



Nd2TlIn: optimized geometry, GGA-PBE.

The space-group type is No. 123.

a b c (Å): 3.8844 3.8844 7.8234
angles (deg): 90.00 90.00 90.00
Closest atoms and distances in Å follow each position.
Element x y z (fractional)
Tl  0.5000  0.5000  0.5000  8 Nd 3.38
Nd  0.0000  0.0000  0.7522  4 In 3.36, 4 Tl 3.38
Nd  0.0000  0.0000  0.2478  4 In 3.36, 4 Tl 3.38
In  0.5000  0.5000  0.0000  8 Nd 3.36



Nd8Tl2In: optimized geometry, GGA-PBE.

Its offset from the most stable computed form is 0 kJ/mol of formula units. The space-group type is No. 12.

a b c (Å): 5.0837 8.3796 9.1548
angles (deg): 110.63 106.12 90.00
Closest atoms and distances in Å follow each position.
Element x y z (fractional)
Nd  0.5955  0.4500  0.1910  3 Tl 3.40-3.54, 1 In 3.52, 7 Nd 3.55-3.75
Nd  0.3207  0.0600  0.6415  1 Tl 3.26, 1 In 3.37, 6 Nd 3.38-3.58
Nd  0.1404  0.2020  0.2809  3 Tl 3.39-3.46, 2 In 3.52, 7 Nd 3.55-3.77
Nd  0.0561  0.7303  0.1122  1 Tl 3.29, 6 Nd 3.38-3.68
Nd  0.8596  0.7980  0.7191  3 Tl 3.39-3.46, 2 In 3.52, 7 Nd 3.55-3.77
Nd  0.6793  0.9400  0.3585  1 Tl 3.26, 1 In 3.37, 6 Nd 3.38-3.58
Nd  0.4045  0.5500  0.8090  3 Tl 3.40-3.54, 1 In 3.52, 7 Nd 3.55-3.75
Nd  0.9439  0.2697  0.8878  1 Tl 3.29, 6 Nd 3.38-3.68
Tl  0.2244  0.6459  0.4489  8 Nd 3.26-3.54
Tl  0.7756  0.3541  0.5511  8 Nd 3.26-3.54
In  0.5000  0.0000  0.0000  12 Nd 3.37-3.77



Nd7Tl4In: optimized geometry, GGA-PBE.

The space-group type is No. 12.

a b c (Å): 5.8628 8.9816 9.0587
angles (deg): 60.75 71.12 70.95
Closest atoms and distances in Å follow each position.
Element x y z (fractional)
Nd  0.8347  0.9272  0.4033  3 Tl 3.22-3.46, 1 In 3.24, 2 Nd 3.46-3.56
Nd  0.1653  0.0728  0.5967  3 Tl 3.22-3.46, 1 In 3.24, 2 Nd 3.46-3.56
Nd  0.0677  0.6005  0.2642  1 In 3.17, 3 Tl 3.37-3.46, 1 Nd 3.46
Nd  0.9323  0.3995  0.7358  1 In 3.17, 3 Tl 3.37-3.46, 1 Nd 3.46
Nd  0.2827  0.6105  0.8241  4 Tl 3.16-3.29
Nd  0.5000  0.0000  0.0000  2 In 2.93, 2 Tl 3.10
Nd  0.7173  0.3895  0.1759  4 Tl 3.16-3.29
Tl  0.5588  0.2907  0.5918  1 Tl 3.21, 6 Nd 3.29-3.46
Tl  0.4412  0.7093  0.4082  1 Tl 3.21, 6 Nd 3.29-3.46
Tl  0.7141  0.7533  0.8185  6 Nd 3.10-3.37
Tl  0.2859  0.2467  0.1815  6 Nd 3.10-3.37
In  0.0000  0.0000  0.0000  6 Nd 2.93-3.24



Nd3TlIn: optimized geometry, GGA-PBE.

The space-group type is No. 63.

a b c (Å): 5.1659 5.1654 11.8857
angles (deg): 90.00 77.45 90.00
Closest atoms and distances in Å follow each position.
Element x y z (fractional)
Nd  0.7647  0.2500  0.1189  2 Tl 3.40, 2 In 3.40, 8 Nd 3.65-3.79
Nd  0.3841  0.2500  0.8801  2 Tl 3.39, 2 In 3.39, 6 Nd 3.65-3.79
Nd  0.5744  0.2500  0.4996  4 In 3.40, 4 Tl 3.40-3.41, 4 Nd 3.65
Nd  0.2642  0.7500  0.1199  2 Tl 3.39, 2 In 3.39, 6 Nd 3.65-3.79
Nd  0.8836  0.7500  0.8811  2 Tl 3.40, 2 In 3.40, 8 Nd 3.65-3.79
Nd  0.0740  0.7500  0.5004  4 In 3.40, 4 Tl 3.40-3.41, 4 Nd 3.65
Tl  0.4787  0.7500  0.6910  8 Nd 3.39-3.41, 4 In 3.65
Tl  0.1697  0.2500  0.3090  8 Nd 3.39-3.41, 4 In 3.65
In  0.6696  0.7500  0.3092  8 Nd 3.39-3.40, 4 Tl 3.65
In  0.9788  0.2500  0.6908  8 Nd 3.39-3.40, 4 Tl 3.65



Computed E_form, in the same sequence as the records: -0.327, -0.058, -0.149, -0.219, -0.046, -0.442, -0.162, -0.270, -0.444, -0.218, -0.211, -0.323 eV/atom.